A relaxed structure of CaPuCd17, computed with PBE-GGA.

Computed properties:
- total magnetization (μB/cell) = 5.91
- energy (eV/atom) = -1.76
- space-group type = No. 160

Structure (CIF):
```
data_CaPuCd17
_space_group_name_H-M_alt 'P 1'
_space_group_IT_number 1
_cell_length_a 7.718
_cell_length_b 7.718
_cell_length_c 7.718
_cell_angle_alpha 82.07
_cell_angle_beta 82.07
_cell_angle_gamma 82.07
loop_
_space_group_symop_operation_xyz
'x,y,z'
loop_
_atom_site_label
_atom_site_fract_x
_atom_site_fract_y
_atom_site_fract_z
Ca1 0.665 0.665 0.665
Pu1 0.329 0.329 0.329
Cd1 0.302 0.000 0.697
Cd2 0.697 0.302 0.000
Cd3 0.000 0.697 0.302
Cd4 0.302 0.697 0.000
Cd5 0.000 0.302 0.697
Cd6 0.697 0.000 0.302
Cd7 0.348 0.868 0.348
Cd8 0.348 0.348 0.868
Cd9 0.868 0.348 0.348
Cd10 0.627 0.195 0.627
Cd11 0.627 0.627 0.195
Cd12 0.195 0.627 0.627
Cd13 0.985 0.517 0.985
Cd14 0.985 0.985 0.517
Cd15 0.517 0.985 0.985
Cd16 0.904 0.904 0.904
Cd17 0.104 0.104 0.104
```



A relaxed structure of Tb2Pr6NdHo3, computed with PBE-GGA.

Computed properties:
- total magnetization (μB/cell) = 0.00
- energy (eV/atom) = -4.69
- space-group type = No. 12

Structure (CIF):
```
data_Tb2Pr6NdHo3
_space_group_name_H-M_alt 'P 1'
_space_group_IT_number 1
_cell_length_a 6.324
_cell_length_b 6.324
_cell_length_c 11.948
_cell_angle_alpha 95.05
_cell_angle_beta 95.05
_cell_angle_gamma 120.01
loop_
_space_group_symop_operation_xyz
'x,y,z'
loop_
_atom_site_label
_atom_site_fract_x
_atom_site_fract_y
_atom_site_fract_z
Tb1 0.333 0.667 0.000
Tb2 0.667 0.333 0.000
Pr1 0.916 0.582 0.748
Pr2 0.751 0.751 0.252
Pr3 0.084 0.418 0.252
Pr4 0.582 0.916 0.748
Pr5 0.249 0.249 0.748
Pr6 0.418 0.084 0.252
Nd1 0.000 0.000 0.000
Ho1 0.167 0.833 0.500
Ho2 0.833 0.167 0.500
Ho3 0.500 0.500 0.500
```



A relaxed structure of Cs6ZrI12, computed with PBE-GGA.

Computed properties:
- total magnetization (μB/cell) = 2.08
- energy (eV/atom) = -2.82
- space-group type = No. 148
- energy relative to the elements, uncorrected (eV per atom) = -1.118

Structure (CIF):
```
data_Cs6ZrI12
_space_group_name_H-M_alt 'P 1'
_space_group_IT_number 1
_cell_length_a 10.877
_cell_length_b 10.877
_cell_length_c 10.877
_cell_angle_alpha 85.21
_cell_angle_beta 85.21
_cell_angle_gamma 85.21
loop_
_space_group_symop_operation_xyz
'x,y,z'
loop_
_atom_site_label
_atom_site_fract_x
_atom_site_fract_y
_atom_site_fract_z
Cs1 0.020 0.197 0.563
Cs2 0.803 0.437 0.980
Cs3 0.437 0.980 0.803
Cs4 0.980 0.803 0.437
Cs5 0.197 0.563 0.020
Cs6 0.563 0.020 0.197
Zr1 0.000 0.000 0.000
I1 0.334 0.002 0.479
I2 0.002 0.479 0.334
I3 0.479 0.334 0.002
I4 0.666 0.998 0.521
I5 0.998 0.521 0.666
I6 0.521 0.666 0.998
I7 0.097 0.866 0.790
I8 0.210 0.903 0.134
I9 0.134 0.210 0.903
I10 0.903 0.134 0.210
I11 0.790 0.097 0.866
I12 0.866 0.790 0.097
```



A relaxed structure of FeRe3Ge6, computed with PBE-GGA.

Computed properties:
- total magnetization (μB/cell) = 0.00
- energy (eV/atom) = -7.09
- space-group type = No. 14

Structure (CIF):
```
data_FeRe3Ge6
_space_group_name_H-M_alt 'P 1'
_space_group_IT_number 1
_cell_length_a 6.110
_cell_length_b 6.504
_cell_length_c 8.769
_cell_angle_alpha 90.00
_cell_angle_beta 110.79
_cell_angle_gamma 90.00
loop_
_space_group_symop_operation_xyz
'x,y,z'
loop_
_atom_site_label
_atom_site_fract_x
_atom_site_fract_y
_atom_site_fract_z
Fe1 0.500 0.500 0.500
Fe2 0.000 0.000 0.000
Re1 0.517 0.861 0.733
Re2 0.500 0.500 0.000
Re3 0.483 0.139 0.267
Re4 0.017 0.639 0.233
Re5 0.000 0.000 0.500
Re6 0.983 0.361 0.767
Ge1 0.655 0.194 0.896
Ge2 0.655 0.145 0.577
Ge3 0.695 0.486 0.306
Ge4 0.305 0.514 0.694
Ge5 0.345 0.855 0.423
Ge6 0.345 0.806 0.104
Ge7 0.155 0.306 0.396
Ge8 0.155 0.355 0.077
Ge9 0.195 0.014 0.806
Ge10 0.805 0.986 0.194
Ge11 0.845 0.645 0.923
Ge12 0.845 0.694 0.604
```



A relaxed structure of MgTi2HAu, computed with PBE-GGA.

Computed properties:
- total magnetization (μB/cell) = 0.00
- energy (eV/atom) = -5.11
- space-group type = No. 123

Structure (CIF):
```
data_MgTi2HAu
_space_group_name_H-M_alt 'P 1'
_space_group_IT_number 1
_cell_length_a 3.972
_cell_length_b 3.972
_cell_length_c 4.458
_cell_angle_alpha 90.00
_cell_angle_beta 90.00
_cell_angle_gamma 90.00
loop_
_space_group_symop_operation_xyz
'x,y,z'
loop_
_atom_site_label
_atom_site_fract_x
_atom_site_fract_y
_atom_site_fract_z
H1 0.000 0.000 0.000
Mg1 0.000 0.000 0.500
Au1 0.500 0.500 0.500
Ti1 0.000 0.500 0.000
Ti2 0.500 0.000 0.000
```



A relaxed structure of CaSmRu, computed with PBE-GGA.

Computed properties:
- E above lowest polymorph (eV/atom) = 0.000
- total magnetization (μB/cell) = 0.00
- energy (eV/atom) = -5.39
- space-group type = No. 107

Structure (CIF):
```
data_CaSmRu
_space_group_name_H-M_alt 'P 1'
_space_group_IT_number 1
_cell_length_a 3.502
_cell_length_b 3.502
_cell_length_c 7.004
_cell_angle_alpha 104.48
_cell_angle_beta 104.48
_cell_angle_gamma 90.00
loop_
_space_group_symop_operation_xyz
'x,y,z'
loop_
_atom_site_label
_atom_site_fract_x
_atom_site_fract_y
_atom_site_fract_z
Ru1 0.675 0.675 0.349
Ca1 0.037 0.037 0.073
Sm1 0.289 0.289 0.577
```



A relaxed structure of La2GeHS, computed with PBE-GGA.

Computed properties:
- total magnetization (μB/cell) = 0.00
- energy (eV/atom) = -5.05
- space-group type = No. 123

Structure (CIF):
```
data_La2GeHS
_space_group_name_H-M_alt 'P 1'
_space_group_IT_number 1
_cell_length_a 5.662
_cell_length_b 3.564
_cell_length_c 5.662
_cell_angle_alpha 90.00
_cell_angle_beta 90.00
_cell_angle_gamma 90.00
loop_
_space_group_symop_operation_xyz
'x,y,z'
loop_
_atom_site_label
_atom_site_fract_x
_atom_site_fract_y
_atom_site_fract_z
H1 0.000 0.500 0.000
Ge1 0.500 0.500 0.500
S1 0.000 0.000 0.000
La1 0.000 0.000 0.500
La2 0.500 0.000 0.000
```



A relaxed structure of ZrPIrS2, computed with PBE-GGA.

Computed properties:
- E above lowest polymorph (eV/atom) = 0.000
- total magnetization (μB/cell) = 0.00
- energy (eV/atom) = -6.01
- space-group type = No. 123
- energy relative to the elements, uncorrected (eV per atom) = 0.202

Structure (CIF):
```
data_ZrPIrS2
_space_group_name_H-M_alt 'P 1'
_space_group_IT_number 1
_cell_length_a 4.687
_cell_length_b 4.687
_cell_length_c 4.481
_cell_angle_alpha 90.00
_cell_angle_beta 90.00
_cell_angle_gamma 90.00
loop_
_space_group_symop_operation_xyz
'x,y,z'
loop_
_atom_site_label
_atom_site_fract_x
_atom_site_fract_y
_atom_site_fract_z
P1 0.000 0.000 0.500
S1 0.000 0.500 0.000
S2 0.500 0.000 0.000
Ir1 0.000 0.000 0.000
Zr1 0.500 0.500 0.500
```



A relaxed structure of SrSeN2F, computed with PBE-GGA.

Computed properties:
- E above lowest polymorph (eV/atom) = 1.534
- total magnetization (μB/cell) = 7.00
- energy (eV/atom) = -3.44
- space-group type = No. 123
- energy relative to the elements, uncorrected (eV per atom) = 1.295

Structure (CIF):
```
data_SrSeN2F
_space_group_name_H-M_alt 'P 1'
_space_group_IT_number 1
_cell_length_a 5.051
_cell_length_b 5.051
_cell_length_c 6.291
_cell_angle_alpha 90.00
_cell_angle_beta 90.00
_cell_angle_gamma 90.00
loop_
_space_group_symop_operation_xyz
'x,y,z'
loop_
_atom_site_label
_atom_site_fract_x
_atom_site_fract_y
_atom_site_fract_z
Sr1 0.000 0.000 0.000
N1 0.000 0.500 0.000
N2 0.500 0.000 0.000
Se1 0.000 0.000 0.500
F1 0.500 0.500 0.500
```



A relaxed structure of ZrVNi2, computed with PBE-GGA.

Computed properties:
- E above lowest polymorph (eV/atom) = 0.000
- total magnetization (μB/cell) = 0.00
- energy (eV/atom) = -7.50
- space-group type = No. 166

Structure (CIF):
```
data_ZrVNi2
_space_group_name_H-M_alt 'P 1'
_space_group_IT_number 1
_cell_length_a 4.044
_cell_length_b 4.044
_cell_length_c 4.853
_cell_angle_alpha 65.38
_cell_angle_beta 65.38
_cell_angle_gamma 60.00
loop_
_space_group_symop_operation_xyz
'x,y,z'
loop_
_atom_site_label
_atom_site_fract_x
_atom_site_fract_y
_atom_site_fract_z
Ni1 0.713 0.713 0.861
Ni2 0.287 0.287 0.139
Zr1 0.500 0.500 0.500
V1 0.000 0.000 0.000
```



A relaxed structure of Sr2LiS2, computed with PBE-GGA.

Computed properties:
- E above lowest polymorph (eV/atom) = 0.293
- total magnetization (μB/cell) = 1.18
- energy (eV/atom) = -3.92
- space-group type = No. 127
- energy relative to the elements, uncorrected (eV per atom) = -1.218

Structure (CIF):
```
data_Sr2LiS2
_space_group_name_H-M_alt 'P 1'
_space_group_IT_number 1
_cell_length_a 8.375
_cell_length_b 8.375
_cell_length_c 3.744
_cell_angle_alpha 90.00
_cell_angle_beta 90.00
_cell_angle_gamma 90.00
loop_
_space_group_symop_operation_xyz
'x,y,z'
loop_
_atom_site_label
_atom_site_fract_x
_atom_site_fract_y
_atom_site_fract_z
Sr1 0.352 0.852 0.000
Sr2 0.852 0.648 0.000
Sr3 0.648 0.148 0.000
Sr4 0.148 0.352 0.000
S1 0.156 0.656 0.500
S2 0.656 0.844 0.500
S3 0.844 0.344 0.500
S4 0.344 0.156 0.500
Li1 0.000 0.000 0.000
Li2 0.500 0.500 0.000
```



A relaxed structure of LaFeGe2Ru, computed with PBE-GGA.

Computed properties:
- total magnetization (μB/cell) = 0.01
- energy (eV/atom) = -6.93
- space-group type = No. 119

Structure (CIF):
```
data_LaFeGe2Ru
_space_group_name_H-M_alt 'P 1'
_space_group_IT_number 1
_cell_length_a 4.231
_cell_length_b 4.231
_cell_length_c 5.916
_cell_angle_alpha 110.96
_cell_angle_beta 110.96
_cell_angle_gamma 90.00
loop_
_space_group_symop_operation_xyz
'x,y,z'
loop_
_atom_site_label
_atom_site_fract_x
_atom_site_fract_y
_atom_site_fract_z
La1 0.000 0.000 0.000
Fe1 0.750 0.250 0.500
Ge1 0.636 0.636 0.273
Ge2 0.364 0.364 0.727
Ru1 0.250 0.750 0.500
```